## TaAlRu2 (GGA-PBE)

Data for crystalline TaAlRu2 at its relaxed geometry.

Properties
* ΔE_f: -0.2497 eV per atom

a b c (Å): 5.6574 8.3576 2.8262
angles (deg): 90.00 114.75 90.00
Space group C2/m (No. 12)
Inequivalent atoms, fractional coordinates:
Ta 0.0000 0.0000 0.0000 x2
Al 0.0000 0.5000 0.0000 x2
Ru 0.2500 0.2500 0.5000 x4

---

## Zr6PdO (GGA-PBE)

Data for crystalline Zr6PdO at its relaxed geometry.

Properties
* ΔE_f (raw): -74.7 kJ/mol of atoms

a b c (Å): 5.1519 5.7075 5.9124
angles (deg): 98.48 112.94 90.67
Space group P-1 (No. 2)
Inequivalent atoms, fractional coordinates:
Zr 0.0672 0.2875 0.1496 x2
Zr 0.2272 0.8329 0.4713 x2
Zr 0.4005 0.3762 0.7500 x2
Pd 0.5000 0.0000 0.0000 x1
O 0.0000 0.5000 0.5000 x1

---

## SrCrAgBr2 (GGA-PBE)

Data for crystalline SrCrAgBr2 at its relaxed geometry.

Properties
* ΔE_f (raw): 4.0 kJ/mol of atoms

a b c (Å): 5.7181 5.7181 7.5702
angles (deg): 90.00 90.00 90.00
Space group P4/mmm (No. 123)
Inequivalent atoms, fractional coordinates:
Sr 0.0000 0.0000 0.0000 x1
Cr 0.0000 0.0000 0.5000 x1
Ag 0.5000 0.5000 0.5000 x1
Br 0.0000 0.5000 0.0000 x2

---

## Mg2CoMoN4 (GGA-PBE)

Data for crystalline Mg2CoMoN4 at its relaxed geometry.

Properties
* ΔE_f (raw): -38.5 kJ/mol of atoms

a b c (Å): 4.6250 4.6250 9.3739
angles (deg): 90.00 90.00 90.00
Space group I-42m (No. 121)
Inequivalent atoms, fractional coordinates:
Mg 0.0000 0.5000 0.2500 x4
Co 0.0000 0.0000 0.0000 x2
Mo 0.0000 0.0000 0.5000 x2
N 0.2419 0.2419 0.3886 x8

---

## Ac4Co2H (GGA-PBE)

Data for crystalline Ac4Co2H at its relaxed geometry.

a b c (Å): 8.3028 8.3296 11.7095
angles (deg): 90.00 90.00 90.00
Space group Imma (No. 74)
Inequivalent atoms, fractional coordinates:
Ac 0.0000 0.0048 0.2446 x8
Ac 0.2369 0.2500 0.0026 x8
Co 0.0000 0.0000 0.0000 x4
Co 0.2500 0.2500 0.2500 x4
H 0.2500 0.2500 0.7500 x4

---

## Mg2OsCl (GGA-PBE)

Data for crystalline Mg2OsCl at its relaxed geometry.

Properties
* ΔE_f (raw): 40.2 kJ/mol of atoms

a b c (Å): 3.2209 4.9465 8.5923
angles (deg): 90.00 90.00 90.00
Space group Immm (No. 71)
Inequivalent atoms, fractional coordinates:
Mg 0.0000 0.0000 0.2376 x4
Os 0.0000 0.5000 0.0000 x2
Cl 0.0000 0.5000 0.5000 x2

---

## ScBe2Re (GGA-PBE)

Data for crystalline ScBe2Re at its relaxed geometry.

Properties
* ΔE_f: 0.3810 eV per atom

a b c (Å): 6.0220 6.0220 6.0220
angles (deg): 90.00 90.00 90.00
Space group F-43m (No. 216)
Inequivalent atoms, fractional coordinates:
Sc 0.0000 0.0000 0.0000 x4
Be 0.0000 0.0000 0.5000 x4
Be 0.2500 0.2500 0.7500 x4
Re 0.2500 0.2500 0.2500 x4

---

## Mn2FeH2 (GGA-PBE)

Data for crystalline Mn2FeH2 at its relaxed geometry.

a b c (Å): 2.7710 2.7710 6.2850
angles (deg): 90.00 90.00 120.00
Space group P-3m1 (No. 164)
Inequivalent atoms, fractional coordinates:
Mn 0.3333 0.6667 0.1976 x2
Fe 0.0000 0.0000 0.5000 x1
H 0.3333 0.6667 0.9097 x2

---

## ScTl2InO6 (GGA-PBE)

Data for crystalline ScTl2InO6 at its relaxed geometry.

Properties
* ΔE_f (raw): -152.0 kJ/mol of atoms

a b c (Å): 5.6524 5.6524 14.8402
angles (deg): 90.00 90.00 120.00
Space group R3 (No. 146, hexagonal axes)
Inequivalent atoms, fractional coordinates:
Sc 0.0000 0.0000 0.0000 x3
Tl 0.0000 0.0000 0.2794 x3
Tl 0.0000 0.0000 0.7804 x3
In 0.0000 0.0000 0.4996 x3
O 0.0495 0.3495 0.0669 x9
O 0.0557 0.6934 0.5688 x9

---

## Ce2Al6ZnAg (GGA-PBE)

Data for crystalline Ce2Al6ZnAg at its relaxed geometry.

Properties
* ΔE_f: -0.1015 eV per atom

a b c (Å): 6.4667 6.4667 35.2058
angles (deg): 90.00 90.00 120.00
Space group R-3m (No. 166, hexagonal axes)
Inequivalent atoms, fractional coordinates:
Ce 0.0000 0.0000 0.1092 x6
Ce 0.0000 0.0000 0.2843 x6
Al 0.0571 0.5286 0.2980 x18
Al 0.0707 0.5354 0.8671 x18
Zn 0.0000 0.0000 0.4266 x6
Ag 0.0000 0.0000 0.0000 x3
Ag 0.0000 0.0000 0.5000 x3

---

## LiScRe2 (GGA-PBE)

Data for crystalline LiScRe2 at its relaxed geometry.

Properties
* ΔE_f: 0.2807 eV per atom

a b c (Å): 2.6269 4.5139 5.3658
angles (deg): 90.00 90.00 90.00
Space group Pmmm (No. 47)
Inequivalent atoms, fractional coordinates:
Li 0.0000 0.0000 0.0000 x1
Sc 0.0000 0.0000 0.5000 x1
Re 0.5000 0.5000 0.2364 x2

---

## Te2MoRuI (GGA-PBE)

Data for crystalline Te2MoRuI at its relaxed geometry.

Properties
* ΔE_f (raw): 119.4 kJ/mol of atoms

a b c (Å): 5.2381 5.2381 5.6117
angles (deg): 90.00 90.00 90.00
Space group P4/mmm (No. 123)
Inequivalent atoms, fractional coordinates:
Te 0.0000 0.5000 0.0000 x2
Mo 0.0000 0.0000 0.0000 x1
Ru 0.5000 0.5000 0.5000 x1
I 0.0000 0.0000 0.5000 x1

---

## Pm2Tm2Al3 (GGA-PBE)

Data for crystalline Pm2Tm2Al3 at its relaxed geometry.

Properties
* ΔE_f: -0.2448 eV per atom

a b c (Å): 3.4431 30.5397 3.4435
angles (deg): 90.00 90.00 90.00
Space group Cmmm (No. 65)
Inequivalent atoms, fractional coordinates:
Pm 0.0000 0.0680 0.0000 x4
Tm 0.0000 0.1993 0.0000 x4
Al 0.0000 0.3622 0.5000 x4
Al 0.0000 0.5000 0.5000 x2

---

| no. | VASP energy (Ry per atom) |
| --- | --- |
| 1 | -0.6458 |
| 2 | -0.6214 |
| 3 | -0.2543 |
| 4 | -0.5293 |
| 5 | -0.3643 |
| 6 | -0.2682 |
| 7 | -0.4540 |
| 8 | -0.4820 |
| 9 | -0.4359 |
| 10 | -0.2901 |
| 11 | -0.5883 |
| 12 | -0.3198 |
| 13 | -0.3295 |